[1]
This record from Alexandria describes a relaxed Hf2ThBeN4 crystal. The functional is GGA-PBE.

Values from the calculation:
* E_form (uncorrected): -1.57 eV/atom
* space group: Cmcm, No. 63
* crystal system: orthorhombic
* calculated volume: 11.84 A^3/atom

Cell and atoms, written as POSCAR:
```
Hf2ThBeN4
1.0
1.6161 -5.4484 0.0000
1.6161 5.4484 0.0000
0.0000 0.0000 10.7543
Hf Th Be N
4 2 2 8
Cartesian
1.6161 4.0249 5.9268
1.6161 4.0249 10.2046
1.6161 -4.0249 0.5497
1.6161 -4.0249 4.8275
1.6161 1.0826 8.0657
1.6161 -1.0826 2.6886
1.6161 1.8868 2.6886
1.6161 -1.8868 8.0657
1.6161 4.5111 8.0657
1.6161 2.8713 1.3000
1.6161 2.8713 4.0771
1.6161 0.0000 0.0000
1.6161 0.0000 5.3772
1.6161 -2.8713 6.6772
1.6161 -2.8713 9.4543
1.6161 -4.5111 2.6886
```

[2]
This record from Alexandria describes a relaxed HfTi2BeN crystal. The functional is GGA-PBE.

Values from the calculation:
* E_form (uncorrected): -0.72 eV/atom
* space group: P4/mmm, No. 123
* crystal system: tetragonal
* calculated volume: 14.34 A^3/atom

Cell and atoms, written as POSCAR:
```
HfTi2BeN
1.0
4.0619 0.0000 0.0000
0.0000 4.0619 0.0000
0.0000 0.0000 4.3469
Hf Ti Be N
1 2 1 1
Cartesian
0.0000 0.0000 0.0000
0.0000 2.0309 2.1734
2.0309 0.0000 2.1734
2.0309 2.0309 0.0000
0.0000 0.0000 2.1734
```

[3]
This record from Alexandria describes a relaxed Hf2TiBeN crystal. The functional is GGA-PBE.

Values from the calculation:
* E_form (uncorrected): -0.67 eV/atom
* space group: P4/mmm, No. 123
* crystal system: tetragonal
* calculated volume: 15.36 A^3/atom

Cell and atoms, written as POSCAR:
```
Hf2TiBeN
1.0
4.3699 0.0000 0.0000
0.0000 4.3699 0.0000
0.0000 0.0000 4.0227
Hf Ti Be N
2 1 1 1
Cartesian
0.0000 2.1850 0.0000
2.1850 0.0000 0.0000
0.0000 0.0000 2.0114
2.1850 2.1850 2.0114
0.0000 0.0000 0.0000
```

[4]
This record from Alexandria describes a relaxed Hf2BeTlN crystal. The functional is GGA-PBE.

Values from the calculation:
* E_form (uncorrected): 2.11 eV/atom
* space group: P4/mmm, No. 123
* crystal system: tetragonal
* calculated volume: 23.37 A^3/atom

Cell and atoms, written as POSCAR:
```
Hf2BeTlN
1.0
5.3178 0.0000 0.0000
0.0000 5.3178 0.0000
0.0000 0.0000 4.1314
Hf Be Tl N
2 1 1 1
Cartesian
0.0000 2.6589 0.0000
2.6589 0.0000 0.0000
0.0000 0.0000 2.0657
0.0000 0.0000 0.0000
2.6589 2.6589 2.0657
```

Q: Number 3 is which compound?
A: Hf2TiBeN